No. 1
DFT (PBE) results for a relaxed structure of RbLiPb2F8.

Cell: 4.425 6.042 7.702 Å, 92.56 85.09 90.41°
Positions (direct):
Rb1 0.000 0.000 0.500
Li1 0.000 0.000 0.000
Pb1 0.430 0.532 0.759
Pb2 0.570 0.468 0.241
F1 0.063 0.576 0.269
F2 0.638 0.704 0.012
F3 0.810 0.143 0.192
F4 0.937 0.424 0.731
F5 0.362 0.296 0.988
F6 0.190 0.857 0.808
F7 0.525 0.712 0.495
F8 0.475 0.288 0.505

Computed properties:
* spin magnetization: 0.00 μB/f.u.
* raw formation energy: -2.308 eV/atom
* V: 17.080 A^3/atom
* uncorrected energy: -4.414 eV/atom

---

No. 2
DFT (PBE) results for a relaxed structure of Rb2LiPbF.

Cell: 6.733 6.733 3.714 Å, 90.00 90.00 90.00°
Positions (direct):
Pb1 0.500 0.500 0.500
Li1 0.000 0.000 0.500
Rb1 0.000 0.500 0.000
Rb2 0.500 0.000 0.000
F1 0.000 0.000 0.000

Computed properties:
* spin magnetization: 0.01 μB/f.u.
* raw formation energy: -1.014 eV/atom
* V: 33.670 A^3/atom
* uncorrected energy: -2.900 eV/atom

---

No. 3
DFT (PBE) results for a relaxed structure of Rb2Li3PbF8.

Cell: 6.511 6.511 7.591 Å, 64.61 64.61 60.00°
Positions (direct):
Rb1 0.130 0.130 0.611
Rb2 0.480 0.480 0.558
Li1 0.458 0.018 0.067
Li2 0.018 0.458 0.067
Li3 0.458 0.458 0.067
Pb1 0.950 0.950 0.150
F1 0.260 0.260 0.221
F2 0.838 0.838 0.487
F3 0.203 0.203 0.906
F4 0.688 0.203 0.906
F5 0.203 0.688 0.906
F6 0.738 0.332 0.192
F7 0.332 0.738 0.192
F8 0.738 0.738 0.192

Computed properties:
* spin magnetization: 0.00 μB/f.u.
* raw formation energy: -2.571 eV/atom
* V: 17.293 A^3/atom
* uncorrected energy: -4.453 eV/atom

---

No. 4
DFT (PBE) results for a relaxed structure of Li2RhPbF8.

Cell: 4.854 4.870 7.054 Å, 89.89 89.89 85.03°
Positions (direct):
Li1 0.499 0.499 0.723
Li2 0.501 0.501 0.277
Rh1 0.000 0.000 0.000
Pb1 0.000 0.000 0.500
F1 0.208 0.792 0.203
F2 0.730 0.730 0.001
F3 0.792 0.208 0.203
F4 0.792 0.208 0.797
F5 0.270 0.270 0.999
F6 0.208 0.792 0.797
F7 0.672 0.673 0.500
F8 0.328 0.327 0.500

Computed properties:
* spin magnetization: 0.92 μB/f.u.
* raw formation energy: -2.175 eV/atom
* V: 13.844 A^3/atom
* uncorrected energy: -4.664 eV/atom

---

No. 5
DFT (PBE) results for a relaxed structure of LiRhPbF6.

Cell: 5.355 5.355 10.679 Å, 90.00 90.00 120.00°
Positions (direct):
Li1 0.333 0.667 0.250
Li2 0.667 0.333 0.750
Rh1 0.667 0.333 0.250
Rh2 0.333 0.667 0.750
Pb1 0.000 0.000 0.000
Pb2 0.000 0.000 0.500
F1 0.643 0.633 0.145
F2 0.991 0.357 0.145
F3 0.357 0.991 0.645
F4 0.009 0.643 0.855
F5 0.367 0.357 0.355
F6 0.991 0.633 0.355
F7 0.633 0.991 0.855
F8 0.643 0.009 0.355
F9 0.009 0.367 0.645
F10 0.367 0.009 0.145
F11 0.633 0.643 0.645
F12 0.357 0.367 0.855

Computed properties:
* spin magnetization: 0.00 μB/f.u.
* raw formation energy: -2.169 eV/atom
* V: 14.731 A^3/atom
* uncorrected energy: -4.859 eV/atom

---

No. 6
DFT (PBE) results for a relaxed structure of Li2RuPbF8.

Cell: 4.846 4.926 7.244 Å, 85.71 85.98 81.76°
Positions (direct):
Li1 0.474 0.474 0.707
Li2 0.526 0.526 0.293
Ru1 0.000 0.000 0.000
Pb1 0.000 0.000 0.500
F1 0.211 0.788 0.203
F2 0.740 0.746 0.031
F3 0.789 0.214 0.201
F4 0.789 0.212 0.797
F5 0.260 0.254 0.969
F6 0.211 0.786 0.799
F7 0.670 0.678 0.502
F8 0.330 0.322 0.498

Computed properties:
* spin magnetization: 2.00 μB/f.u.
* raw formation energy: -2.276 eV/atom
* V: 14.197 A^3/atom
* uncorrected energy: -4.925 eV/atom

---

No. 7
DFT (PBE) results for a relaxed structure of LiRuPbF6.

Cell: 5.374 5.374 10.700 Å, 90.00 90.00 120.00°
Positions (direct):
Li1 0.333 0.667 0.250
Li2 0.667 0.333 0.750
Ru1 0.667 0.333 0.250
Ru2 0.333 0.667 0.750
Pb1 0.000 0.000 0.000
Pb2 0.000 0.000 0.500
F1 0.642 0.634 0.145
F2 0.992 0.358 0.145
F3 0.358 0.992 0.645
F4 0.008 0.642 0.855
F5 0.366 0.358 0.355
F6 0.992 0.634 0.355
F7 0.634 0.992 0.855
F8 0.642 0.008 0.355
F9 0.008 0.366 0.645
F10 0.366 0.008 0.145
F11 0.634 0.642 0.645
F12 0.358 0.366 0.855

Computed properties:
* spin magnetization: 1.00 μB/f.u.
* raw formation energy: -2.154 eV/atom
* V: 14.865 A^3/atom
* uncorrected energy: -5.056 eV/atom

---

No. 8
DFT (PBE) results for a relaxed structure of LiPbSF.

Cell: 4.023 4.023 8.945 Å, 90.00 90.00 90.00°
Positions (direct):
Li1 0.500 0.500 0.000
Li2 0.000 0.000 0.000
Pb1 0.500 0.000 0.674
Pb2 0.000 0.500 0.326
S1 0.000 0.500 0.841
S2 0.500 0.000 0.159
F1 0.000 0.000 0.500
F2 0.500 0.500 0.500

Computed properties:
* spin magnetization: 0.00 μB/f.u.
* raw formation energy: -1.489 eV/atom
* V: 18.094 A^3/atom
* uncorrected energy: -4.395 eV/atom

---

No. 9
DFT (PBE) results for a relaxed structure of Li2ScPbF.

Cell: 4.263 4.263 4.596 Å, 90.00 90.00 90.00°
Positions (direct):
Pb1 0.500 0.500 0.500
Sc1 0.000 0.000 0.500
Li1 0.000 0.500 0.000
Li2 0.500 0.000 0.000
F1 0.000 0.000 0.000

Computed properties:
* spin magnetization: 0.00 μB/f.u.
* raw formation energy: -1.309 eV/atom
* V: 16.703 A^3/atom
* uncorrected energy: -4.457 eV/atom

---

No. 10
DFT (PBE) results for a relaxed structure of Li2ScPbF8.

Cell: 4.776 4.783 6.973 Å, 90.00 90.00 89.49°
Positions (direct):
Li1 0.500 0.500 0.782
Li2 0.500 0.500 0.218
Sc1 0.000 0.000 0.000
Pb1 0.000 0.000 0.500
F1 0.202 0.799 0.224
F2 0.705 0.705 0.000
F3 0.798 0.201 0.224
F4 0.798 0.201 0.776
F5 0.295 0.295 0.000
F6 0.202 0.799 0.776
F7 0.677 0.677 0.500
F8 0.323 0.323 0.500

Computed properties:
* spin magnetization: 0.00 μB/f.u.
* raw formation energy: -2.940 eV/atom
* V: 13.273 A^3/atom
* uncorrected energy: -5.343 eV/atom

---

No. 11
DFT (PBE) results for a relaxed structure of LiPbSeF.

Cell: 4.130 4.130 9.224 Å, 90.00 90.00 90.00°
Positions (direct):
Li1 0.500 0.500 0.000
Li2 0.000 0.000 0.000
Pb1 0.500 0.000 0.665
Pb2 0.000 0.500 0.335
Se1 0.000 0.500 0.832
Se2 0.500 0.000 0.168
F1 0.000 0.000 0.500
F2 0.500 0.500 0.500

Computed properties:
* spin magnetization: 0.00 μB/f.u.
* raw formation energy: -1.470 eV/atom
* V: 19.661 A^3/atom
* uncorrected energy: -4.215 eV/atom

---

No. 12
DFT (PBE) results for a relaxed structure of Li2SiPbF8.

Cell: 4.786 4.795 6.999 Å, 81.90 81.97 79.60°
Positions (direct):
Li1 0.448 0.448 0.727
Li2 0.552 0.552 0.273
Si1 0.000 0.000 0.000
Pb1 0.000 0.000 0.500
F1 0.200 0.802 0.178
F2 0.768 0.769 0.048
F3 0.802 0.201 0.177
F4 0.800 0.198 0.822
F5 0.232 0.231 0.952
F6 0.198 0.799 0.823
F7 0.670 0.672 0.505
F8 0.330 0.328 0.495

Computed properties:
* spin magnetization: 0.00 μB/f.u.
* raw formation energy: -2.869 eV/atom
* V: 12.946 A^3/atom
* uncorrected energy: -5.197 eV/atom